[1]
This record from Alexandria via LeMat-Bulk describes a relaxed structure of Dy2TcC2. The functional is PBE.

Output
E above lowest polymorph = 60 meV/atom
total DFT energy (no corrections) = -7.9379 eV/atom
calculated formation energy = -334 meV per atom

Cell: 11.137 5.107 6.664 Å, 90.00 118.61 90.00°
Space group C2/m (No. 12)
One atom of each set of equivalent atoms:
1 Dy 0.031 0.000 0.276
2 Dy 0.179 0.500 0.122
3 Tc 0.137 0.500 0.629
4 C 0.007 0.500 0.277
5 C 0.180 0.000 0.110

[2]
This record from Alexandria via LeMat-Bulk describes a relaxed structure of DyTc4C2. The functional is PBE.

Output
total DFT energy (no corrections) = -9.1648 eV/atom
calculated formation energy = 51 meV per atom

Cell: 3.947 13.454 3.912 Å, 90.00 90.00 90.00°
Space group Cmmm (No. 65)
One atom of each set of equivalent atoms:
1 Dy 0.000 0.000 0.000
2 Tc 0.000 0.177 0.500
3 Tc 0.000 0.317 0.000
4 C 0.000 0.371 0.500

[3]
This record from Alexandria via LeMat-Bulk describes a relaxed structure of DyTcC. The functional is PBE.

Output
E above lowest polymorph = 0 meV/atom
total DFT energy (no corrections) = -8.2545 eV/atom
calculated formation energy = -191 meV per atom

Cell: 6.053 3.494 4.980 Å, 90.00 114.05 90.00°
Space group Cm (No. 8)
One atom of each set of equivalent atoms:
1 Dy 0.000 0.000 0.000
2 Tc 0.495 0.000 0.486
3 C 0.303 0.500 0.411

[4]
This record from Alexandria via LeMat-Bulk describes a relaxed structure of DyTcC. The functional is PBE.

Output
E above lowest polymorph = 177 meV/atom
total DFT energy (no corrections) = -8.0780 eV/atom
calculated formation energy = -14 meV per atom

Cell: 3.5239 3.5239 4.4782 Å, 90.00 90.00 120.00°
Space group P3m1 (No. 156)
One atom of each set of equivalent atoms:
1 Dy 0.0000 0.0000 0.0000
2 Tc 0.6667 0.3333 0.5133
3 C 0.3333 0.6667 0.5314

[5]
This record from Alexandria via LeMat-Bulk describes a relaxed structure of DyTcC. The functional is PBE.

Output
E above lowest polymorph = 17 meV/atom
total DFT energy (no corrections) = -8.2375 eV/atom
calculated formation energy = -174 meV per atom

Cell: 3.5037 3.5037 9.0035 Å, 90.00 90.00 120.00°
Space group P6_3mc (No. 186)
One atom of each set of equivalent atoms:
1 Dy 0.3333 0.6667 0.0000
2 Tc 0.0000 0.0000 0.2581
3 C 0.3333 0.6667 0.2998

[6]
This record from Alexandria via LeMat-Bulk describes a relaxed structure of DyTcC2. The functional is PBE.

Output
E above lowest polymorph = 188 meV/atom
total DFT energy (no corrections) = -8.2845 eV/atom
calculated formation energy = 69 meV per atom

Cell: 3.2279 3.2279 16.3856 Å, 90.00 90.00 120.00°
Space group R-3m (No. 166, hexagonal axes)
One atom of each set of equivalent atoms:
1 Dy 0.0000 0.0000 0.0000
2 Tc 0.0000 0.0000 0.5000
3 C 0.0000 0.0000 0.2374

[7]
This record from Alexandria via LeMat-Bulk describes a relaxed structure of DyTcC2. The functional is PBE.

Output
E above lowest polymorph = 0 meV/atom
total DFT energy (no corrections) = -8.4721 eV/atom
calculated formation energy = -118 meV per atom

Cell: 3.666 4.843 6.160 Å, 90.00 90.00 90.00°
Space group Amm2 (No. 38)
One atom of each set of equivalent atoms:
1 Dy 0.000 0.000 0.000
2 Tc 0.500 0.000 0.404
3 C 0.500 0.148 0.728

[8]
This record from Alexandria via LeMat-Bulk describes a relaxed structure of Dy3TcC4. The functional is PBE.

Output
total DFT energy (no corrections) = -7.8976 eV/atom
calculated formation energy = -264 meV per atom

Cell: 3.640 4.644 13.349 Å, 90.00 90.00 90.00°
Space group Immm (No. 71)
One atom of each set of equivalent atoms:
1 Dy 0.000 0.000 0.000
2 Dy 0.000 0.500 0.186
3 Tc 0.000 0.000 0.500
4 C 0.000 0.346 0.375